Compound: Cu2MoIr
Source: the Alexandria database
Functional: PBE-GGA
Structure: optimized geometry

Output
Spin magnetization: 0.00 Bohr magnetons per cell
Formation enthalpy at 0 K: 0.141 eV/atom
Space-group type: F-43m (216)
Energy above the lowest structure with this stoichiometry: 109 meV/atom

Lattice parameters (Å, degrees): 4.2816 4.2816 4.2816 60.00 60.00 60.00
Fractional coordinates of all 4 atoms:
Cu1 0.0000 0.0000 0.0000
Cu2 0.2500 0.2500 0.2500
Ir1 0.5000 0.5000 0.5000
Mo1 0.7500 0.7500 0.7500